## w
# NaNiI2O | Alexandria via LeMat-Bulk | PBE+U | relaxed
data_NaNiI2O
_symmetry_space_group_name_H-M 'P 4/m m m'
_symmetry_Int_Tables_number 123
_symmetry_space_group_name_Hall '-P 4 2'
_cell_length_a 6.0045
_cell_length_b 6.0045
_cell_length_c 3.5653
_cell_angle_alpha 90.00
_cell_angle_beta 90.00
_cell_angle_gamma 90.00
loop_
_atom_site_label
_atom_site_type_symbol
_atom_site_fract_x
_atom_site_fract_y
_atom_site_fract_z
_atom_site_occupancy
Na1 Na 0.0000 0.0000 0.0000 1
Ni1 Ni 0.5000 0.5000 0.5000 1
I1 I 0.0000 0.5000 0.5000 1
O1 O 0.5000 0.5000 0.0000 1
# Fermi-level density of states: 2.10 states/eV/f.u.

---

## x
# NaNiI2O | Alexandria via LeMat-Bulk | PBE+U | relaxed
data_NaNiI2O
_symmetry_space_group_name_H-M 'P 4/m m m'
_symmetry_Int_Tables_number 123
_symmetry_space_group_name_Hall '-P 4 2'
_cell_length_a 5.8624
_cell_length_b 5.8624
_cell_length_c 4.2474
_cell_angle_alpha 90.00
_cell_angle_beta 90.00
_cell_angle_gamma 90.00
loop_
_atom_site_label
_atom_site_type_symbol
_atom_site_fract_x
_atom_site_fract_y
_atom_site_fract_z
_atom_site_occupancy
Na1 Na 0.0000 0.0000 0.0000 1
Ni1 Ni 0.5000 0.5000 0.5000 1
I1 I 0.0000 0.5000 0.0000 1
O1 O 0.0000 0.0000 0.5000 1
# Fermi-level density of states: 3.68 states/eV/f.u.

---

Calculated relative energies: w 0; x 788, given in meV/atom